DFT (PBE) results for a geometry-optimized La3NdPt3 structure.

a = 4.2347 Å, b = 12.6130 Å, c = 14.6316 Å
α = 90.00°, β = 90.00°, γ = 90.00°
Last column: nearest neighbours and their distance in Å.
Element x y z (fractional)
La  0.7500  0.7487  0.8041  5 Pt 3.00-3.11
La  0.2500  0.7513  0.3041  5 Pt 3.00-3.11
La  0.2500  0.2513  0.1959  5 Pt 3.00-3.11
La  0.7500  0.2487  0.6959  5 Pt 3.00-3.11
La  0.7500  0.1832  0.9786  6 Pt 2.96-3.18
La  0.2500  0.3168  0.4786  6 Pt 2.96-3.18
La  0.2500  0.8168  0.0214  6 Pt 2.96-3.18
La  0.7500  0.6832  0.5214  6 Pt 2.96-3.18
La  0.7500  0.9491  0.5999  5 Pt 2.95-3.21
La  0.2500  0.5509  0.0999  5 Pt 2.95-3.21
La  0.2500  0.0509  0.4001  5 Pt 2.95-3.21
La  0.7500  0.4491  0.9001  5 Pt 2.95-3.21
Nd  0.7500  0.9776  0.1865  4 Pt 2.91-3.24
Nd  0.2500  0.5224  0.6865  4 Pt 2.91-3.24
Nd  0.2500  0.0224  0.8135  4 Pt 2.91-3.24
Nd  0.7500  0.4776  0.3135  4 Pt 2.91-3.24
Pt  0.7500  0.9448  0.9325  2 Nd 2.91, 4 La 2.96-3.11, 2 Pt 3.21
Pt  0.2500  0.5552  0.4325  2 Nd 2.91, 4 La 2.96-3.11, 2 Pt 3.21
Pt  0.2500  0.0552  0.0675  2 Nd 2.91, 4 La 2.96-3.11, 2 Pt 3.21
Pt  0.7500  0.4448  0.5675  2 Nd 2.91, 4 La 2.96-3.11, 2 Pt 3.21
Pt  0.7500  0.8881  0.3944  6 La 2.95-3.18, 1 Nd 3.24
Pt  0.2500  0.6119  0.8944  6 La 2.95-3.18, 1 Nd 3.24
Pt  0.2500  0.1119  0.6056  6 La 2.95-3.18, 1 Nd 3.24
Pt  0.7500  0.3881  0.1056  6 La 2.95-3.18, 1 Nd 3.24
Pt  0.7500  0.7291  0.1601  6 La 3.00-3.21, 1 Nd 3.16
Pt  0.2500  0.7709  0.6601  6 La 3.00-3.21, 1 Nd 3.16
Pt  0.2500  0.2709  0.8399  6 La 3.00-3.21, 1 Nd 3.16
Pt  0.7500  0.2291  0.3399  6 La 3.00-3.21, 1 Nd 3.16

**Energy of formation from the pure elements**: -1022 meV/atom
**Symmetry**: Pnma, No. 62
**Magnetic moment**: 0.00 μB/cell
**Density of states at the Fermi level**: 5.2 states/eV/f.u.
**Density**: 9.7 g/cm³